Below is a relaxed structure of TbY3Th4Se8, with properties calculated at the PBE level.

Cell lengths 8.0985, 8.0985, 21.2849 Å; angles 90.00, 90.00, 120.00 degrees
Space group R-3m (No. 166, hexagonal axes)
Asymmetric unit:
Tb1 0.0000 0.0000 0.0000 [3 per cell]
Y1 0.0000 0.5000 0.0000 [9 per cell]
Th1 0.0000 0.0000 0.5000 [3 per cell]
Th2 0.0000 0.5000 0.5000 [9 per cell]
Se1 0.0000 0.0000 0.2551 [6 per cell]
Se2 0.0005 0.5002 0.2550 [18 per cell]

- Calculated density: 8.18 Mg/m³
- DFT total energy: -6.751 eV/atom
- Uncorrected formation energy: -1.652 eV per atom
- Magnetic moment: 0.00 μB/f.u.